# Dy2ErTm3Bi6 GGA-PBE optimized geometry
data_Dy2ErTm3Bi6
_chemical_formula_sum 'Dy4 Er2 Tm6 Bi12'
_space_group_name_H-M_alt 'C 1 2/m 1'
_space_group_IT_number 12
_cell_length_a 19.376
_cell_length_b 4.446
_cell_length_c 8.894
_cell_angle_alpha 90.00
_cell_angle_beta 103.19
_cell_angle_gamma 90.00
loop_
_space_group_symop_operation_xyz
'x,y,z'
'-x,-y,-z'
'-x,y,-z'
'x,-y,z'
'x+1/2,y+1/2,z'
'-x+1/2,-y+1/2,-z'
'-x+1/2,y+1/2,-z'
'x+1/2,-y+1/2,z'
loop_
_atom_site_label
_atom_site_type_symbol
_atom_site_fract_x
_atom_site_fract_y
_atom_site_fract_z
Dy1 Dy 0.167 0.000 0.333
Er1 Er 0.000 0.500 0.000
Tm1 Tm 0.000 0.500 0.500
Tm2 Tm 0.167 0.000 0.833
Bi1 Bi 0.001 0.000 0.750
Bi2 Bi 0.166 0.500 0.585
Bi3 Bi 0.167 0.500 0.081
# * D(E_F): 3.99 states/eV per cell
# * ΔH_f (0 K): -0.813 eV per atom
# * crystal system: monoclinic



# DyY3Er2Bi6 GGA-PBE optimized geometry
data_DyY3Er2Bi6
_chemical_formula_sum 'Dy2 Y6 Er4 Bi12'
_space_group_name_H-M_alt 'C 1 2/m 1'
_space_group_IT_number 12
_cell_length_a 7.744
_cell_length_b 13.414
_cell_length_c 7.738
_cell_angle_alpha 90.00
_cell_angle_beta 109.46
_cell_angle_gamma 90.00
loop_
_space_group_symop_operation_xyz
'x,y,z'
'-x,-y,-z'
'-x,y,-z'
'x,-y,z'
'x+1/2,y+1/2,z'
'-x+1/2,-y+1/2,-z'
'-x+1/2,y+1/2,-z'
'x+1/2,-y+1/2,z'
loop_
_atom_site_label
_atom_site_type_symbol
_atom_site_fract_x
_atom_site_fract_y
_atom_site_fract_z
Dy1 Dy 0.000 0.000 0.000
Y1 Y 0.000 0.166 0.500
Y2 Y 0.000 0.500 0.500
Er1 Er 0.000 0.333 0.000
Bi1 Bi 0.248 0.500 0.248
Bi2 Bi 0.250 0.167 0.248
# * D(E_F): 4.37 states/eV per cell
# * ΔH_f (0 K): -0.863 eV per atom
# * crystal system: monoclinic



# Dy3YEr2Bi6 GGA-PBE optimized geometry
data_Dy3YEr2Bi6
_chemical_formula_sum 'Dy6 Y2 Er4 Bi12'
_space_group_name_H-M_alt 'C 1 2/m 1'
_space_group_IT_number 12
_cell_length_a 19.469
_cell_length_b 4.467
_cell_length_c 8.937
_cell_angle_alpha 90.00
_cell_angle_beta 103.19
_cell_angle_gamma 90.00
loop_
_space_group_symop_operation_xyz
'x,y,z'
'-x,-y,-z'
'-x,y,-z'
'x,-y,z'
'x+1/2,y+1/2,z'
'-x+1/2,-y+1/2,-z'
'-x+1/2,y+1/2,-z'
'x+1/2,-y+1/2,z'
loop_
_atom_site_label
_atom_site_type_symbol
_atom_site_fract_x
_atom_site_fract_y
_atom_site_fract_z
Dy1 Dy 0.000 0.000 0.000
Dy2 Dy 0.166 0.500 0.333
Y1 Y 0.000 0.000 0.500
Er1 Er 0.167 0.500 0.833
Bi1 Bi 0.001 0.500 0.751
Bi2 Bi 0.167 0.000 0.082
Bi3 Bi 0.167 0.000 0.585
# * D(E_F): 4.01 states/eV per cell
# * ΔH_f (0 K): -0.850 eV per atom
# * crystal system: monoclinic



# DyY2Er3Bi6 GGA-PBE optimized geometry
data_DyY2Er3Bi6
_chemical_formula_sum 'Dy2 Y4 Er6 Bi12'
_space_group_name_H-M_alt 'C 1 2/m 1'
_space_group_IT_number 12
_cell_length_a 19.453
_cell_length_b 4.463
_cell_length_c 8.929
_cell_angle_alpha 90.00
_cell_angle_beta 103.19
_cell_angle_gamma 90.00
loop_
_space_group_symop_operation_xyz
'x,y,z'
'-x,-y,-z'
'-x,y,-z'
'x,-y,z'
'x+1/2,y+1/2,z'
'-x+1/2,-y+1/2,-z'
'-x+1/2,y+1/2,-z'
'x+1/2,-y+1/2,z'
loop_
_atom_site_label
_atom_site_type_symbol
_atom_site_fract_x
_atom_site_fract_y
_atom_site_fract_z
Dy1 Dy 0.000 0.000 0.000
Y1 Y 0.167 0.500 0.333
Er1 Er 0.000 0.000 0.500
Er2 Er 0.167 0.500 0.833
Bi1 Bi 0.001 0.500 0.749
Bi2 Bi 0.166 0.000 0.585
Bi3 Bi 0.167 0.000 0.081
# * D(E_F): 4.03 states/eV per cell
# * ΔH_f (0 K): -0.849 eV per atom
# * crystal system: monoclinic



# Dy2YEr3Bi6 GGA-PBE optimized geometry
data_Dy2YEr3Bi6
_chemical_formula_sum 'Dy4 Y2 Er6 Bi12'
_space_group_name_H-M_alt 'C 1 2/m 1'
_space_group_IT_number 12
_cell_length_a 19.448
_cell_length_b 4.463
_cell_length_c 8.928
_cell_angle_alpha 90.00
_cell_angle_beta 103.20
_cell_angle_gamma 90.00
loop_
_space_group_symop_operation_xyz
'x,y,z'
'-x,-y,-z'
'-x,y,-z'
'x,-y,z'
'x+1/2,y+1/2,z'
'-x+1/2,-y+1/2,-z'
'-x+1/2,y+1/2,-z'
'x+1/2,-y+1/2,z'
loop_
_atom_site_label
_atom_site_type_symbol
_atom_site_fract_x
_atom_site_fract_y
_atom_site_fract_z
Dy1 Dy 0.167 0.000 0.333
Y1 Y 0.000 0.500 0.000
Er1 Er 0.000 0.500 0.500
Er2 Er 0.166 0.000 0.833
Bi1 Bi 0.000 0.000 0.252
Bi2 Bi 0.166 0.500 0.585
Bi3 Bi 0.167 0.500 0.082
# * D(E_F): 4.02 states/eV per cell
# * ΔH_f (0 K): -0.842 eV per atom
# * crystal system: monoclinic



# EuDy2Bi GGA-PBE optimized geometry
data_EuDy2Bi
_chemical_formula_sum 'Eu1 Dy2 Bi1'
_space_group_name_H-M_alt 'P 4/m m m'
_space_group_IT_number 123
_space_group_name_Hall '-P 4 2'
_cell_length_a 4.962
_cell_length_b 4.962
_cell_length_c 4.891
_cell_angle_alpha 90.00
_cell_angle_beta 90.00
_cell_angle_gamma 90.00
loop_
_atom_site_label
_atom_site_type_symbol
_atom_site_fract_x
_atom_site_fract_y
_atom_site_fract_z
Eu1 Eu 0.000 0.000 0.000
Dy1 Dy 0.000 0.500 0.500
Bi1 Bi 0.500 0.500 0.000
# * D(E_F): 5.18 states/eV per cell
# * ΔH_f (0 K): -0.330 eV per atom
# * distance to the lowest polymorph of the same formula: 0.00 eV per formula unit
# * crystal system: tetragonal



# EuDyBi2 GGA-PBE optimized geometry
data_EuDyBi2
_chemical_formula_sum 'Eu4 Dy4 Bi8'
_space_group_name_H-M_alt 'F m -3 m'
_space_group_IT_number 225
_space_group_name_Hall '-F 4 2 3'
_cell_length_a 7.931
_cell_length_b 7.931
_cell_length_c 7.931
_cell_angle_alpha 90.00
_cell_angle_beta 90.00
_cell_angle_gamma 90.00
loop_
_atom_site_label
_atom_site_type_symbol
_atom_site_fract_x
_atom_site_fract_y
_atom_site_fract_z
Eu1 Eu 0.000 0.000 0.000
Dy1 Dy 0.000 0.000 0.500
Bi1 Bi 0.250 0.250 0.250
# * D(E_F): 12.61 states/eV per cell
# * ΔH_f (0 K): -0.653 eV per atom
# * distance to the lowest polymorph of the same formula: 0.56 eV per formula unit
# * crystal system: cubic



# EuDy2Bi GGA-PBE optimized geometry
data_EuDy2Bi
_chemical_formula_sum 'Eu3 Dy6 Bi3'
_space_group_name_H-M_alt 'R -3 m'
_space_group_IT_number 166
_space_group_name_Hall '-R 3 2"'
_cell_length_a 3.5865
_cell_length_b 3.5865
_cell_length_c 36.9307
_cell_angle_alpha 90.00
_cell_angle_beta 90.00
_cell_angle_gamma 120.00
loop_
_atom_site_label
_atom_site_type_symbol
_atom_site_fract_x
_atom_site_fract_y
_atom_site_fract_z
Eu1 Eu 0.0000 0.0000 0.0000
Dy1 Dy 0.0000 0.0000 0.4151
Bi1 Bi 0.0000 0.0000 0.5000
# * D(E_F): 12.94 states/eV per cell
# * ΔH_f (0 K): 0.076 eV per atom
# * distance to the lowest polymorph of the same formula: 1.62 eV per formula unit
# * crystal system: trigonal



# EuDyBi2 GGA-PBE optimized geometry
data_EuDyBi2
_chemical_formula_sum 'Eu3 Dy3 Bi6'
_space_group_name_H-M_alt 'R -3 m'
_space_group_IT_number 166
_space_group_name_Hall '-R 3 2"'
_cell_length_a 4.5314
_cell_length_b 4.5314
_cell_length_c 22.9384
_cell_angle_alpha 90.00
_cell_angle_beta 90.00
_cell_angle_gamma 120.00
loop_
_atom_site_label
_atom_site_type_symbol
_atom_site_fract_x
_atom_site_fract_y
_atom_site_fract_z
Eu1 Eu 0.0000 0.0000 0.0000
Dy1 Dy 0.0000 0.0000 0.5000
Bi1 Bi 0.0000 0.0000 0.2454
# * D(E_F): 36.92 states/eV per cell
# * ΔH_f (0 K): -0.794 eV per atom
# * distance to the lowest polymorph of the same formula: 0.00 eV per formula unit
# * crystal system: trigonal



# EuDyBi2 GGA-PBE optimized geometry
data_EuDyBi2
_chemical_formula_sum 'Eu1 Dy1 Bi2'
_space_group_name_H-M_alt 'P 4/m m m'
_space_group_IT_number 123
_space_group_name_Hall '-P 4 2'
_cell_length_a 3.834
_cell_length_b 3.834
_cell_length_c 8.491
_cell_angle_alpha 90.00
_cell_angle_beta 90.00
_cell_angle_gamma 90.00
loop_
_atom_site_label
_atom_site_type_symbol
_atom_site_fract_x
_atom_site_fract_y
_atom_site_fract_z
Eu1 Eu 0.000 0.000 0.000
Dy1 Dy 0.000 0.000 0.500
Bi1 Bi 0.500 0.500 0.265
# * D(E_F): 4.10 states/eV per cell
# * ΔH_f (0 K): -0.683 eV per atom
# * distance to the lowest polymorph of the same formula: 0.44 eV per formula unit
# * crystal system: tetragonal



# EuDyBi2 GGA-PBE optimized geometry
data_EuDyBi2
_chemical_formula_sum 'Eu1 Dy1 Bi2'
_space_group_name_H-M_alt 'P 4/m m m'
_space_group_IT_number 123
_space_group_name_Hall '-P 4 2'
_cell_length_a 5.936
_cell_length_b 5.936
_cell_length_c 3.488
_cell_angle_alpha 90.00
_cell_angle_beta 90.00
_cell_angle_gamma 90.00
loop_
_atom_site_label
_atom_site_type_symbol
_atom_site_fract_x
_atom_site_fract_y
_atom_site_fract_z
Eu1 Eu 0.000 0.000 0.000
Dy1 Dy 0.500 0.500 0.000
Bi1 Bi 0.000 0.500 0.500
# * D(E_F): 6.53 states/eV per cell
# * ΔH_f (0 K): -0.681 eV per atom
# * distance to the lowest polymorph of the same formula: 0.45 eV per formula unit
# * crystal system: tetragonal



# EuDyHgBi GGA-PBE optimized geometry
data_EuDyHgBi
_chemical_formula_sum 'Eu4 Dy4 Hg4 Bi4'
_space_group_name_H-M_alt 'F -4 3 m'
_space_group_IT_number 216
_space_group_name_Hall 'F -4 2 3'
_cell_length_a 7.755
_cell_length_b 7.755
_cell_length_c 7.755
_cell_angle_alpha 90.00
_cell_angle_beta 90.00
_cell_angle_gamma 90.00
loop_
_atom_site_label
_atom_site_type_symbol
_atom_site_fract_x
_atom_site_fract_y
_atom_site_fract_z
Eu1 Eu 0.000 0.000 0.000
Dy1 Dy 0.000 0.000 0.500
Hg1 Hg 0.250 0.250 0.250
Bi1 Bi 0.250 0.250 0.750
# * D(E_F): 15.56 states/eV per cell
# * ΔH_f (0 K): -0.553 eV per atom
# * crystal system: cubic



# EuDyInBi GGA-PBE optimized geometry
data_EuDyInBi
_chemical_formula_sum 'Eu4 Dy4 In4 Bi4'
_space_group_name_H-M_alt 'F -4 3 m'
_space_group_IT_number 216
_space_group_name_Hall 'F -4 2 3'
_cell_length_a 7.822
_cell_length_b 7.822
_cell_length_c 7.822
_cell_angle_alpha 90.00
_cell_angle_beta 90.00
_cell_angle_gamma 90.00
loop_
_atom_site_label
_atom_site_type_symbol
_atom_site_fract_x
_atom_site_fract_y
_atom_site_fract_z
Eu1 Eu 0.000 0.000 0.000
Dy1 Dy 0.000 0.000 0.500
In1 In 0.250 0.250 0.250
Bi1 Bi 0.250 0.250 0.750
# * D(E_F): 12.17 states/eV per cell
# * ΔH_f (0 K): -0.490 eV per atom
# * crystal system: cubic



# LiEuDyBi GGA-PBE optimized geometry
data_LiEuDyBi
_chemical_formula_sum 'Li4 Eu4 Dy4 Bi4'
_space_group_name_H-M_alt 'F -4 3 m'
_space_group_IT_number 216
_space_group_name_Hall 'F -4 2 3'
_cell_length_a 7.696
_cell_length_b 7.696
_cell_length_c 7.696
_cell_angle_alpha 90.00
_cell_angle_beta 90.00
_cell_angle_gamma 90.00
loop_
_atom_site_label
_atom_site_type_symbol
_atom_site_fract_x
_atom_site_fract_y
_atom_site_fract_z
Li1 Li 0.000 0.000 0.000
Eu1 Eu 0.250 0.250 0.750
Dy1 Dy 0.250 0.250 0.250
Bi1 Bi 0.000 0.000 0.500
# * D(E_F): 10.99 states/eV per cell
# * ΔH_f (0 K): -0.349 eV per atom
# * crystal system: cubic



# EuDySnBi GGA-PBE optimized geometry
data_EuDySnBi
_chemical_formula_sum 'Eu4 Dy4 Sn4 Bi4'
_space_group_name_H-M_alt 'F -4 3 m'
_space_group_IT_number 216
_space_group_name_Hall 'F -4 2 3'
_cell_length_a 7.828
_cell_length_b 7.828
_cell_length_c 7.828
_cell_angle_alpha 90.00
_cell_angle_beta 90.00
_cell_angle_gamma 90.00
loop_
_atom_site_label
_atom_site_type_symbol
_atom_site_fract_x
_atom_site_fract_y
_atom_site_fract_z
Eu1 Eu 0.000 0.000 0.000
Dy1 Dy 0.000 0.000 0.500
Sn1 Sn 0.250 0.250 0.750
Bi1 Bi 0.250 0.250 0.250
# * D(E_F): 17.47 states/eV per cell
# * ΔH_f (0 K): -0.567 eV per atom
# * crystal system: cubic



# EuDyTlBi GGA-PBE optimized geometry
data_EuDyTlBi
_chemical_formula_sum 'Eu4 Dy4 Tl4 Bi4'
_space_group_name_H-M_alt 'F -4 3 m'
_space_group_IT_number 216
_space_group_name_Hall 'F -4 2 3'
_cell_length_a 7.849
_cell_length_b 7.849
_cell_length_c 7.849
_cell_angle_alpha 90.00
_cell_angle_beta 90.00
_cell_angle_gamma 90.00
loop_
_atom_site_label
_atom_site_type_symbol
_atom_site_fract_x
_atom_site_fract_y
_atom_site_fract_z
Eu1 Eu 0.000 0.000 0.000
Dy1 Dy 0.000 0.000 0.500
Tl1 Tl 0.250 0.250 0.750
Bi1 Bi 0.250 0.250 0.250
# * D(E_F): 11.75 states/eV per cell
# * ΔH_f (0 K): -0.465 eV per atom
# * crystal system: cubic



# DyBiF6 GGA-PBE optimized geometry
data_DyBiF6
_chemical_formula_sum 'Dy1 Bi1 F6'
_space_group_name_H-M_alt 'P -1'
_space_group_IT_number 2
_cell_length_a 6.283
_cell_length_b 6.284
_cell_length_c 6.324
_cell_angle_alpha 60.24
_cell_angle_beta 60.23
_cell_angle_gamma 60.01
loop_
_space_group_symop_operation_xyz
'x,y,z'
'-x,-y,-z'
loop_
_atom_site_label
_atom_site_type_symbol
_atom_site_fract_x
_atom_site_fract_y
_atom_site_fract_z
Dy1 Dy 0.000 0.000 0.000
Bi1 Bi 0.500 0.500 0.500
F1 F 0.218 0.756 0.754
F2 F 0.246 0.728 0.244
F3 F 0.271 0.219 0.755
# * D(E_F): 0.00 states/eV per cell
# * energy relative to the elements, uncorrected: -3.2840 eV per atom
# * crystal system: triclinic



# DyBi2F8 GGA-PBE optimized geometry
data_DyBi2F8
_chemical_formula_sum 'Dy2 Bi4 F16'
_space_group_name_H-M_alt 'C 1 2/m 1'
_space_group_IT_number 12
_cell_length_a 15.929
_cell_length_b 3.882
_cell_length_c 5.352
_cell_angle_alpha 90.00
_cell_angle_beta 104.98
_cell_angle_gamma 90.00
loop_
_space_group_symop_operation_xyz
'x,y,z'
'-x,-y,-z'
'-x,y,-z'
'x,-y,z'
'x+1/2,y+1/2,z'
'-x+1/2,-y+1/2,-z'
'-x+1/2,y+1/2,-z'
'x+1/2,-y+1/2,z'
loop_
_atom_site_label
_atom_site_type_symbol
_atom_site_fract_x
_atom_site_fract_y
_atom_site_fract_z
Dy1 Dy 0.000 0.000 0.000
Bi1 Bi 0.167 0.500 0.668
F1 F 0.026 0.500 0.798
F2 F 0.096 0.000 0.399
F3 F 0.134 0.000 0.917
F4 F 0.234 0.500 0.319
# * D(E_F): 2.89 states/eV per cell
# * energy relative to the elements, uncorrected: -2.8441 eV per atom
# * crystal system: monoclinic



# Dy2BiF GGA-PBE optimized geometry
data_Dy2BiF
_chemical_formula_sum 'Dy6 Bi3 F3'
_space_group_name_H-M_alt 'R -3 m'
_space_group_IT_number 166
_space_group_name_Hall '-R 3 2"'
_cell_length_a 4.1319
_cell_length_b 4.1319
_cell_length_c 19.7561
_cell_angle_alpha 90.00
_cell_angle_beta 90.00
_cell_angle_gamma 120.00
loop_
_atom_site_label
_atom_site_type_symbol
_atom_site_fract_x
_atom_site_fract_y
_atom_site_fract_z
Dy1 Dy 0.0000 0.0000 0.2342
Bi1 Bi 0.0000 0.0000 0.0000
F1 F 0.0000 0.0000 0.5000
# * D(E_F): 6.27 states/eV per cell
# * energy relative to the elements, uncorrected: -1.3634 eV per atom
# * crystal system: trigonal



# Dy2BiF11 GGA-PBE optimized geometry
data_Dy2BiF11
_chemical_formula_sum 'Dy8 Bi4 F44'
_space_group_name_H-M_alt 'I b a m'
_space_group_IT_number 72
_space_group_name_Hall '-I 2 2c'
_cell_length_a 8.002
_cell_length_b 10.291
_cell_length_c 10.916
_cell_angle_alpha 90.00
_cell_angle_beta 90.00
_cell_angle_gamma 90.00
loop_
_atom_site_label
_atom_site_type_symbol
_atom_site_fract_x
_atom_site_fract_y
_atom_site_fract_z
Dy1 Dy 0.136 0.182 0.000
Bi1 Bi 0.000 0.500 0.250
F1 F 0.000 0.000 0.000
F2 F 0.094 0.334 0.151
F3 F 0.128 0.222 0.500
F4 F 0.208 0.436 0.358
# * energy relative to the elements, uncorrected: -3.0838 eV per atom
# * crystal system: orthorhombic



no.,total DFT energy (no corrections) (eV/cell)
1,-120.44
2,-133.52
3,-125.77
4,-129.38
5,-125.51
6,-24.68
7,-101.00
8,-69.17
9,-77.44
10,-25.37
11,-25.36
12,-85.08
13,-93.83
14,-88.27
15,-100.11
16,-91.93
17,-45.98
18,-117.24
19,-61.23
20,-307.37